A geometry-optimized Tb2Y4Er2Sc structure. Source: Alexandria via LeMat-Bulk, functional PBE.

POSCAR file:
```
Tb2Y4Er2Sc
1.0
3.564 0.000 0.000
-1.782 9.233 -0.475
0.000 -3.654 8.679
Y Tb Er Sc
4 2 2 1
Cartesian
0.000 2.197 2.693
0.000 6.443 5.372
1.782 3.381 5.511
1.782 -0.864 2.832
1.782 5.274 2.553
0.000 0.304 5.651
0.000 6.185 -0.309
1.782 -0.606 8.513
0.000 0.000 0.000
```

Results
Crystal system: monoclinic
V, A^3/atom: 31.0
Energy of formation from the pure elements, eV/atom: 0.02

=====

A geometry-optimized TbYEr5Sc2 structure. Source: Alexandria via LeMat-Bulk, functional PBE.

POSCAR file:
```
TbYEr5Sc2
1.0
5.545 0.000 0.000
-2.773 10.657 0.000
0.000 0.000 9.261
Sc Er Y Tb
4 10 2 2
Cartesian
2.773 7.677 1.810
0.000 2.980 6.441
2.773 8.249 7.621
0.000 2.408 2.991
2.773 5.024 7.740
0.000 5.634 3.110
2.773 0.671 2.304
2.773 4.107 2.041
2.773 10.461 4.796
0.000 9.986 6.934
2.773 2.309 5.055
0.000 6.551 6.671
0.000 0.197 0.166
0.000 8.348 0.425
0.000 8.576 3.883
2.773 2.081 8.513
2.773 6.686 4.793
0.000 3.972 0.162
```

Results
Crystal system: orthorhombic
V, A^3/atom: 30.4
Energy of formation from the pure elements, eV/atom: 0.17

=====

A geometry-optimized Tb6YEr2Sc3 structure. Source: Alexandria via LeMat-Bulk, functional PBE.

POSCAR file:
```
Tb6YEr2Sc3
1.0
-5.907 0.900 0.924
2.427 -5.436 1.056
3.279 4.521 9.979
Er Sc Tb Y
2 3 6 1
Cartesian
-3.129 -1.212 0.968
-0.351 -3.324 1.012
2.678 -2.119 6.023
-2.879 2.105 5.935
-0.100 -0.007 5.979
-1.559 1.023 8.854
1.359 -1.038 3.105
1.225 -1.093 8.898
-1.769 -2.242 4.070
-1.425 1.079 3.061
1.568 2.228 7.889
0.000 0.000 0.000
```

Results
Crystal system: monoclinic
V, A^3/atom: 29.7
Energy of formation from the pure elements, eV/atom: 0.04

=====

A geometry-optimized TbY6ErSc2 structure. Source: Alexandria via LeMat-Bulk, functional PBE.

POSCAR file:
```
TbY6ErSc2
1.0
-5.166 7.869 0.433
0.919 0.344 -8.567
-6.297 -5.033 3.060
Y Sc Tb Er
12 4 2 2
Cartesian
-5.593 6.533 -6.428
-7.143 1.490 -1.830
-3.401 1.690 -3.243
-3.497 0.655 -6.950
-4.951 -3.353 1.355
-7.651 -0.860 0.833
-10.026 1.649 -0.376
-3.074 -1.338 -4.441
-0.518 1.531 -4.697
-7.470 4.518 -0.633
-2.893 4.040 -5.906
-7.047 2.525 1.877
-9.342 3.673 -3.140
-6.014 0.293 -4.556
-4.530 2.887 -0.517
-1.202 -0.493 -1.933
-5.891 4.058 -3.512
-4.653 -0.878 -1.562
-0.569 2.165 -8.141
-9.975 1.016 3.068
```

Results
Crystal system: monoclinic
V, A^3/atom: 30.9
Energy of formation from the pure elements, eV/atom: 0.13

=====

A geometry-optimized Tb2Y5ErSc structure. Source: Alexandria via LeMat-Bulk, functional PBE.

POSCAR file:
```
Tb2Y5ErSc
1.0
-3.467 -2.660 3.366
9.082 0.557 5.275
-2.911 8.940 4.067
Y Tb Er Sc
10 4 2 2
Cartesian
3.888 2.509 10.506
-2.170 0.772 2.894
-0.747 5.785 8.322
2.390 5.794 7.041
4.944 5.853 9.718
-1.296 3.132 5.660
0.604 0.152 5.262
5.327 -0.369 5.195
0.196 0.092 0.275
2.950 2.592 5.087
0.702 2.625 2.798
-0.421 6.382 4.610
1.638 5.332 10.420
3.218 0.170 7.968
-3.095 7.000 6.864
4.646 3.382 7.457
1.323 2.833 8.121
2.724 -0.119 2.712
```

Results
Crystal system: orthorhombic
V, A^3/atom: 31.9
Energy of formation from the pure elements, eV/atom: 0.16

=====

A geometry-optimized TbY2Er6Sc structure. Source: Alexandria via LeMat-Bulk, functional PBE.

POSCAR file:
```
TbY2Er6Sc
1.0
8.342 -1.548 -1.607
1.039 8.713 -2.174
1.039 -2.496 8.627
Y Tb Er Sc
4 2 12 2
Cartesian
9.403 2.517 3.809
1.017 2.152 1.036
5.232 4.487 3.460
5.188 0.182 1.386
7.295 -3.251 7.030
3.124 7.920 -2.185
4.249 3.335 0.484
7.158 2.672 -1.901
6.170 1.334 4.361
7.432 5.893 1.442
8.420 -0.414 2.547
5.576 5.713 -1.526
4.844 -1.044 6.371
2.000 5.083 2.298
2.987 -1.224 3.403
9.015 5.631 -1.610
1.405 -0.962 6.456
3.261 1.997 6.746
3.124 2.072 3.451
7.295 2.597 1.395
```

Results
Crystal system: monoclinic
V, A^3/atom: 30.9
Energy of formation from the pure elements, eV/atom: 0.13

=====

A geometry-optimized TbYEr2Sc2 structure. Source: Alexandria via LeMat-Bulk, functional PBE.

POSCAR file:
```
TbYEr2Sc2
1.0
5.441 0.000 0.000
0.000 9.399 0.000
0.000 0.000 6.807
Er Y Tb Sc
4 2 2 4
Cartesian
2.721 7.833 1.704
2.721 1.566 5.103
0.000 6.266 5.108
0.000 3.133 1.700
2.721 4.700 0.000
0.000 0.000 3.404
2.721 4.700 3.404
0.000 0.000 0.000
2.721 7.833 5.107
2.721 1.566 1.701
0.000 6.266 1.703
0.000 3.133 5.104
```

Results
Crystal system: orthorhombic
V, A^3/atom: 29.0
Energy of formation from the pure elements, eV/atom: 0.07

=====

A geometry-optimized TbYEr2Sc structure. Source: Alexandria via LeMat-Bulk, functional PBE.

POSCAR file:
```
TbYEr2Sc
1.0
7.049 0.000 0.000
0.000 8.105 0.000
0.000 -4.053 5.588
Er Tb Sc Y
4 2 2 2
Cartesian
3.525 2.455 0.000
0.000 5.650 0.000
0.000 2.455 0.000
3.525 5.650 0.000
1.762 4.053 2.510
5.287 0.000 3.079
1.762 4.053 5.480
5.287 0.000 0.108
1.762 0.000 2.943
5.287 4.053 2.645
```

Results
Crystal system: orthorhombic
V, A^3/atom: 31.9
Energy of formation from the pure elements, eV/atom: 0.34

=====

A geometry-optimized Tb5Y2ErSc structure. Source: Alexandria via LeMat-Bulk, functional PBE.

POSCAR file:
```
Tb5Y2ErSc
1.0
5.541 0.000 0.000
-2.771 9.961 0.000
0.000 0.000 10.374
Er Tb Y Sc
2 10 4 2
Cartesian
0.000 8.130 4.765
2.771 1.831 9.952
0.000 5.498 3.313
0.000 5.975 7.312
2.771 0.333 2.501
2.771 2.444 5.397
0.000 9.628 7.688
0.000 7.517 0.210
2.771 4.462 8.500
2.771 9.604 5.355
0.000 0.356 0.169
2.771 3.986 2.125
2.771 7.744 8.415
2.771 7.691 2.455
0.000 2.217 3.229
0.000 2.269 7.642
0.000 3.893 0.154
2.771 6.067 5.340
```

Results
Crystal system: orthorhombic
V, A^3/atom: 31.8
Energy of formation from the pure elements, eV/atom: 0.16

=====

A geometry-optimized Tb6Y3ErSc2 structure. Source: Alexandria via LeMat-Bulk, functional PBE.

POSCAR file:
```
Tb6Y3ErSc2
1.0
6.090 0.002 0.005
-3.042 5.275 0.005
-1.022 -1.769 11.401
Tb Er Sc Y
6 1 2 3
Cartesian
-0.018 3.507 8.639
-1.021 1.772 2.772
3.047 1.737 8.639
2.044 0.001 2.772
0.001 0.002 8.634
2.025 3.506 2.777
0.000 0.000 0.000
0.002 3.517 0.005
3.045 1.760 0.005
4.055 -0.003 5.706
1.013 1.754 5.706
-2.029 3.511 5.706
```

Results
Crystal system: monoclinic
V, A^3/atom: 30.5
Energy of formation from the pure elements, eV/atom: 0.04

=====

A geometry-optimized TbY6Er2Sc3 structure. Source: Alexandria via LeMat-Bulk, functional PBE.

POSCAR file:
```
TbY6Er2Sc3
1.0
-4.543 1.818 3.563
4.379 -3.523 2.246
5.987 9.770 0.936
Tb Y Sc Er
1 6 3 2
Cartesian
0.000 0.000 0.000
2.995 1.204 1.493
0.018 2.985 1.932
4.398 6.822 2.131
2.829 6.861 5.253
1.425 1.243 4.615
5.805 5.079 4.813
2.912 4.032 3.373
-0.061 5.812 3.811
5.884 2.253 2.934
-1.569 0.037 3.124
1.405 -1.743 2.685
```

Results
Crystal system: monoclinic
V, A^3/atom: 29.9
Energy of formation from the pure elements, eV/atom: 0.05

=====

A geometry-optimized Tb2YErSc4 structure. Source: Alexandria via LeMat-Bulk, functional PBE.

POSCAR file:
```
Tb2YErSc4
1.0
-4.297 0.640 -2.255
1.832 -2.003 -4.060
-0.948 -10.429 -1.154
Er Sc Tb Y
1 4 2 1
Cartesian
0.442 -6.216 -2.607
-2.396 -7.990 -3.015
0.668 -9.311 -3.917
-4.081 -2.481 -3.552
-1.017 -3.803 -4.454
-2.623 -4.895 -1.704
-0.948 -10.429 -1.154
-1.232 -0.681 -3.157
```

Results
Crystal system: orthorhombic
V, A^3/atom: 27.9
Energy of formation from the pure elements, eV/atom: 0.05

=====

A geometry-optimized Tb6Er2ZrSc3 structure. Source: Alexandria via LeMat-Bulk, functional PBE.

POSCAR file:
```
Tb6Er2ZrSc3
1.0
5.979 0.002 0.003
-2.986 5.180 0.003
-0.997 -1.727 11.126
Tb Sc Zr Er
6 3 1 2
Cartesian
2.012 3.484 2.813
-0.980 1.700 2.822
2.976 1.755 8.311
1.963 0.001 2.822
-0.016 -0.028 8.320
0.033 3.455 8.311
-1.991 3.454 5.567
3.987 0.002 5.567
0.998 1.728 5.567
0.000 0.000 0.000
2.992 1.727 0.003
0.001 3.455 0.003
```

Results
Crystal system: monoclinic
V, A^3/atom: 28.7
Energy of formation from the pure elements, eV/atom: 0.06

=====

A geometry-optimized TbEr2ZrSc4 structure. Source: Alexandria via LeMat-Bulk, functional PBE.

POSCAR file:
```
TbEr2ZrSc4
1.0
4.754 0.000 0.000
0.000 4.648 1.065
0.000 2.564 10.133
Tb Sc Zr Er
1 4 1 2
Cartesian
2.377 2.324 0.532
0.000 1.780 2.899
4.754 5.431 8.299
2.377 4.103 3.432
2.377 3.108 7.766
0.000 3.606 5.599
0.000 2.564 10.133
2.377 1.282 5.067
```

Results
Crystal system: orthorhombic
V, A^3/atom: 26.4
Energy of formation from the pure elements, eV/atom: 0.05

=====

A geometry-optimized Tb3Er6ZrSc2 structure. Source: Alexandria via LeMat-Bulk, functional PBE.

POSCAR file:
```
Tb3Er6ZrSc2
1.0
5.976 0.003 -0.001
-2.984 5.177 -0.001
-0.992 -1.718 11.236
Er Sc Zr Tb
6 2 1 3
Cartesian
1.971 0.004 2.682
-0.981 1.709 2.682
0.029 3.458 8.552
2.009 3.478 2.676
2.981 1.753 8.552
-0.009 -0.016 8.558
2.991 1.727 -0.001
0.001 3.453 -0.001
0.000 0.000 0.000
-1.986 3.456 5.617
1.000 1.731 5.617
3.986 0.007 5.617
```

Results
Crystal system: monoclinic
V, A^3/atom: 29.0
Energy of formation from the pure elements, eV/atom: 0.05

=====

A geometry-optimized ErSc2Tc structure. Source: Alexandria via LeMat-Bulk, functional PBE.

POSCAR file:
```
ErSc2Tc
1.0
5.834 0.000 0.000
0.000 7.389 0.000
0.000 0.000 8.485
Sc Er Tc
8 4 4
Cartesian
0.810 4.976 3.708
3.727 6.108 4.777
2.107 1.281 0.535
2.107 1.281 3.708
3.727 6.108 7.950
5.025 2.413 7.950
0.810 4.976 0.535
5.025 2.413 4.777
5.148 0.267 2.121
0.687 7.122 6.364
2.230 3.427 6.364
3.604 3.961 2.121
5.411 4.563 6.364
3.340 0.869 6.364
0.423 2.826 2.121
2.494 6.520 2.121
```

Results
Crystal system: orthorhombic
Energy above the most stable polymorph in this dataset, meV/atom: 0
V, A^3/atom: 22.9
Energy of formation from the pure elements, eV/atom: -0.17

=====

A geometry-optimized Er3ScTc8 structure. Source: Alexandria via LeMat-Bulk, functional PBE.

POSCAR file:
```
Er3ScTc8
1.0
0.416 4.569 -2.754
-3.214 4.121 1.153
4.919 5.845 5.242
Tc Er Sc
8 3 1
Cartesian
2.343 10.099 1.513
2.689 11.455 3.815
1.625 4.185 1.990
-1.888 6.966 0.874
0.536 9.875 3.457
-0.285 4.911 0.299
0.743 12.150 2.086
-0.078 7.189 -1.074
-2.786 8.696 -1.589
3.258 8.375 3.990
1.050 7.262 1.810
-0.606 9.794 0.562
```

Results
Crystal system: trigonal
V, A^3/atom: 18.1
Energy of formation from the pure elements, eV/atom: -0.20

=====

A geometry-optimized ErScTc structure. Source: Alexandria via LeMat-Bulk, functional PBE.

POSCAR file:
```
ErScTc
1.0
4.956 0.000 0.000
0.000 6.466 0.000
0.000 0.000 8.306
Er Tc Sc
4 4 4
Cartesian
1.239 5.317 3.748
3.717 1.150 4.558
3.717 2.084 0.405
1.239 4.383 7.901
1.239 2.870 5.205
3.717 6.103 7.254
1.239 0.363 1.052
3.717 3.596 3.101
1.239 2.357 2.609
3.717 5.590 1.544
3.717 4.109 5.697
1.239 0.876 6.762
```

Results
Crystal system: orthorhombic
Energy above the most stable polymorph in this dataset, meV/atom: 94
V, A^3/atom: 22.2
Energy of formation from the pure elements, eV/atom: -0.04

=====

A geometry-optimized Er2Sc2Tc structure. Source: Alexandria via LeMat-Bulk, functional PBE.

POSCAR file:
```
Er2Sc2Tc
1.0
-4.249 -0.625 -4.755
2.388 -5.599 2.919
-4.933 2.146 4.126
Tc Sc Er
2 4 4
Cartesian
-2.259 0.386 -0.116
-6.923 1.135 -0.512
-4.896 -3.871 -0.274
-1.899 -0.208 2.565
-5.193 0.743 3.702
-1.602 -4.822 -1.412
-2.089 -3.416 1.543
-3.795 -2.232 4.457
-2.999 -1.847 -2.167
-4.705 -0.662 0.747
```

Results
Crystal system: monoclinic
V, A^3/atom: 24.7
Energy of formation from the pure elements, eV/atom: -0.07

=====

A geometry-optimized ErSc2Tc structure. Source: Alexandria via LeMat-Bulk, functional PBE.

POSCAR file:
```
ErSc2Tc
1.0
3.235 0.000 0.000
1.618 2.802 0.000
1.618 0.934 10.378
Tc Sc Er
1 2 1
Cartesian
3.235 1.868 5.189
1.618 0.934 7.114
4.853 2.802 3.264
0.000 0.000 0.000
```

Results
Crystal system: trigonal
Energy above the most stable polymorph in this dataset, meV/atom: 318
V, A^3/atom: 23.5
Energy of formation from the pure elements, eV/atom: 0.15

=====

| no. | total DFT energy (no corrections) (eV/atom) |
| --- | --- |
| 1 | -5.598 |
| 2 | -5.001 |
| 3 | -5.154 |
| 4 | -5.938 |
| 5 | -5.672 |
| 6 | -4.998 |
| 7 | -5.406 |
| 8 | -4.968 |
| 9 | -5.057 |
| 10 | -5.329 |
| 11 | -5.909 |
| 12 | -5.649 |
| 13 | -5.307 |
| 14 | -5.902 |
| 15 | -5.156 |
| 16 | -7.068 |
| 17 | -8.780 |
| 18 | -7.131 |
| 19 | -6.496 |
| 20 | -6.750 |